This record from Alexandria via LeMat-Bulk describes an optimized crystal structure of SiTe. The functional is PBE.

Values from the calculation:
E_tot in Ry/atom: -0.3068
ΔE_f (raw) in eV per atom: 0.108
Total magnetization in μB/f.u.: 0.0
Mass density in g/cm3: 4.90
Symmetry: P4/nmm (129)

a = 3.4054 Å, b = 3.4054 Å, c = 9.0903 Å
α = 90.00°, β = 90.00°, γ = 90.00°
Last column: nearest neighbours and their distance in Å.
Fractional coordinates of all 4 atoms:
Si 0.2500 0.2500 0.9723  4 Si 2.46, 1 Te 2.55
Te 0.7500 0.7500 0.3084  1 Si 2.55
Si 0.7500 0.7500 0.0277  4 Si 2.46, 1 Te 2.55
Te 0.2500 0.2500 0.6916  1 Si 2.55